Entry 1:
Entry from Alexandria: crystalline Sr2CaN2 at its relaxed geometry (PBE-GGA).

Lattice parameters (Å, degrees): 6.604 6.604 6.604 147.84 131.90 59.04
Fractional positions:
Sr 0.195 0.195 0.000
Sr 0.805 0.805 0.000
Ca 0.500 0.500 0.000
N 0.347 0.847 0.500
N 0.653 0.153 0.500

Values from the calculation:
Volume in Å³/atom: 22.64
E_form (uncorrected) in eV/atom: -0.51
DFT total energy in eV/atom: -4.917
Excess energy over the best structure of this formula in the dataset in meV/atom: 3

=====

Entry 2:
Entry from Alexandria: crystalline InSiTe2N at its relaxed geometry (PBE-GGA).

Lattice parameters (Å, degrees): 5.790 5.790 4.077 90.00 90.00 90.00
Fractional positions:
In 0.000 0.000 0.000
Si 0.500 0.500 0.500
Te 0.000 0.500 0.000
Te 0.500 0.000 0.000
N 0.000 0.000 0.500

Values from the calculation:
Volume in Å³/atom: 27.33
E_form (uncorrected) in eV/atom: 1.10
DFT total energy in eV/atom: -3.456
Excess energy over the best structure of this formula in the dataset in meV/atom: 992

=====

Entry 3:
Entry from Alexandria: crystalline NaMgH2Cl at its relaxed geometry (PBE-GGA).

Lattice parameters (Å, degrees): 3.928 3.928 6.542 90.00 90.00 90.00
Fractional positions:
Na 0.000 0.000 0.000
Mg 0.000 0.000 0.500
H 0.000 0.500 0.000
H 0.500 0.000 0.000
Cl 0.500 0.500 0.500

Values from the calculation:
Volume in Å³/atom: 20.19
DFT total energy in eV/atom: -2.075
Excess energy over the best structure of this formula in the dataset in meV/atom: 927

=====

Entry 4:
Entry from Alexandria: crystalline NdSm4Dy2Y2 at its relaxed geometry (PBE-GGA).

Lattice parameters (Å, degrees): 6.241 6.247 8.051 75.00 82.51 80.39
Fractional positions:
Nd 0.000 0.000 0.000
Sm 0.111 0.557 0.776
Sm 0.444 0.222 0.113
Sm 0.556 0.778 0.887
Sm 0.889 0.443 0.224
Dy 0.222 0.111 0.555
Dy 0.778 0.889 0.445
Y 0.333 0.667 0.336
Y 0.667 0.333 0.664

Values from the calculation:
Volume in Å³/atom: 33.07
ΔH_f (0 K) in eV/atom: 0.02
DFT total energy in eV/atom: -5.070

=====

Entry 5:
Entry from Alexandria: crystalline Li3TlZn at its relaxed geometry (PBE-GGA).

Lattice parameters (Å, degrees): 4.805 4.805 4.805 90.00 90.00 90.00
Fractional positions:
Li 0.000 0.000 0.500
Li 0.000 0.500 0.000
Li 0.500 0.000 0.000
Tl 0.500 0.500 0.500
Zn 0.000 0.000 0.000

Values from the calculation:
Volume in Å³/atom: 22.19
ΔH_f (0 K) in eV/atom: 0.08
DFT total energy in eV/atom: -1.801
Excess energy over the best structure of this formula in the dataset in meV/atom: 244

=====

Entry 6:
Entry from Alexandria: crystalline Ca2Mg3Zn at its relaxed geometry (PBE-GGA).

Lattice parameters (Å, degrees): 8.463 8.463 7.377 90.00 90.00 39.19
Fractional positions:
Ca 0.143 0.143 0.000
Ca 0.143 0.143 0.500
Ca 0.857 0.857 0.000
Ca 0.857 0.857 0.500
Mg 0.309 0.334 0.250
Mg 0.318 0.682 0.750
Mg 0.334 0.309 0.750
Mg 0.666 0.691 0.250
Mg 0.682 0.318 0.250
Mg 0.691 0.666 0.750
Zn 0.202 0.798 0.250
Zn 0.798 0.202 0.750

Values from the calculation:
Volume in Å³/atom: 27.82
ΔH_f (0 K) in eV/atom: -0.02
DFT total energy in eV/atom: -1.698
Excess energy over the best structure of this formula in the dataset in meV/atom: 125

=====

Entry 7:
Entry from Alexandria: crystalline Tm3Hg2H at its relaxed geometry (PBE-GGA).

Lattice parameters (Å, degrees): 6.329 6.329 7.681 105.46 105.46 66.46
Fractional positions:
Tm 0.098 0.902 0.750
Tm 0.286 0.444 0.039
Tm 0.444 0.286 0.539
Tm 0.556 0.714 0.461
Tm 0.714 0.556 0.961
Tm 0.902 0.098 0.250
Hg 0.018 0.630 0.352
Hg 0.370 0.982 0.148
Hg 0.630 0.018 0.852
Hg 0.982 0.370 0.648
H 0.409 0.591 0.750
H 0.591 0.409 0.250

Values from the calculation:
Volume in Å³/atom: 22.28
DFT total energy in eV/atom: -3.298

=====

Entry 8:
Entry from Alexandria: crystalline PmErCo2 at its relaxed geometry (PBE-GGA).

Lattice parameters (Å, degrees): 3.377 3.377 6.751 90.00 90.00 90.00
Fractional positions:
Pm 0.000 0.000 0.000
Er 0.000 0.000 0.500
Co 0.500 0.500 0.262
Co 0.500 0.500 0.738

Values from the calculation:
Volume in Å³/atom: 19.25
ΔH_f (0 K) in eV/atom: -0.08
DFT total energy in eV/atom: -5.961
Excess energy over the best structure of this formula in the dataset in meV/atom: 79

=====

Entry 9:
Entry from Alexandria: crystalline Pm6Fe2Hg at its relaxed geometry (PBE-GGA).

Lattice parameters (Å, degrees): 8.619 8.619 8.619 111.95 109.05 107.44
Fractional positions:
Pm 0.008 0.222 0.786
Pm 0.186 0.292 0.478
Pm 0.186 0.708 0.895
Pm 0.314 0.020 0.706
Pm 0.314 0.608 0.294
Pm 0.435 0.222 0.214
Pm 0.565 0.778 0.786
Pm 0.686 0.392 0.706
Pm 0.686 0.980 0.294
Pm 0.814 0.292 0.105
Pm 0.814 0.708 0.522
Pm 0.992 0.778 0.214
Fe 0.107 0.607 0.500
Fe 0.390 0.000 0.390
Fe 0.610 0.000 0.610
Fe 0.893 0.393 0.500
Hg 0.000 0.000 0.000
Hg 0.500 0.500 0.000

Values from the calculation:
Volume in Å³/atom: 27.34
ΔH_f (0 K) in eV/atom: -0.08
DFT total energy in eV/atom: -5.158

=====

Entry 10:
Entry from Alexandria: crystalline BaTlIr2 at its relaxed geometry (PBE-GGA).

Lattice parameters (Å, degrees): 5.069 5.069 5.069 60.00 60.00 60.00
Fractional positions:
Ba 0.000 0.000 0.000
Tl 0.250 0.250 0.250
Ir 0.500 0.500 0.500
Ir 0.750 0.750 0.750

Values from the calculation:
Volume in Å³/atom: 23.02
ΔH_f (0 K) in eV/atom: 0.78
DFT total energy in eV/atom: -4.721

=====

Entry 11:
Entry from Alexandria: crystalline Pm3OsSeCl at its relaxed geometry (PBE-GGA).

Lattice parameters (Å, degrees): 8.845 3.854 11.208 90.00 92.87 90.00
Fractional positions:
Pm 0.116 0.250 0.395
Pm 0.122 0.750 0.865
Pm 0.368 0.750 0.622
Pm 0.632 0.250 0.378
Pm 0.878 0.250 0.135
Pm 0.884 0.750 0.605
Os 0.132 0.250 0.671
Os 0.868 0.750 0.329
Se 0.373 0.750 0.360
Se 0.627 0.250 0.640
Cl 0.177 0.250 0.065
Cl 0.823 0.750 0.935

Values from the calculation:
Volume in Å³/atom: 31.80
E_form (uncorrected) in eV/atom: -1.00
DFT total energy in eV/atom: -6.131

=====

Entry 12:
Entry from Alexandria: crystalline K2Zr2CuTe6 at its relaxed geometry (PBE-GGA).

Lattice parameters (Å, degrees): 7.228 7.228 8.890 97.84 97.84 121.61
Fractional positions:
K 0.165 0.835 0.000
K 0.835 0.165 0.000
Zr 0.331 0.669 0.500
Zr 0.669 0.331 0.500
Cu 0.000 0.000 0.500
Te 0.070 0.400 0.696
Te 0.251 0.251 0.315
Te 0.400 0.070 0.696
Te 0.600 0.930 0.304
Te 0.749 0.749 0.685
Te 0.930 0.600 0.304

Values from the calculation:
Volume in Å³/atom: 34.53
E_form (uncorrected) in eV/atom: -0.73
DFT total energy in eV/atom: -4.566

=====

Entry 13:
Entry from Alexandria: crystalline HoCdTe2O8 at its relaxed geometry (PBE-GGA).

Lattice parameters (Å, degrees): 6.217 6.217 6.217 107.27 107.27 113.97
Fractional positions:
Ho 0.000 0.000 0.000
Cd 0.750 0.250 0.500
Te 0.250 0.750 0.500
Te 0.500 0.500 0.000
O 0.065 0.373 0.308
O 0.065 0.757 0.692
O 0.122 0.305 0.816
O 0.243 0.935 0.308
O 0.489 0.305 0.184
O 0.627 0.935 0.692
O 0.695 0.511 0.816
O 0.695 0.878 0.184

Values from the calculation:
Volume in Å³/atom: 15.34
E_form (uncorrected) in eV/atom: -1.40
DFT total energy in eV/atom: -5.689

=====

Entry 14:
Entry from Alexandria: crystalline Er4TmSn2 at its relaxed geometry (PBE-GGA).

Lattice parameters (Å, degrees): 8.961 8.961 8.961 145.86 145.86 49.06
Fractional positions:
Er 0.000 0.500 0.500
Er 0.185 0.185 0.000
Er 0.500 0.000 0.500
Er 0.815 0.815 0.000
Tm 0.000 0.000 0.000
Sn 0.371 0.371 0.000
Sn 0.629 0.629 0.000

Values from the calculation:
Volume in Å³/atom: 32.24
ΔH_f (0 K) in eV/atom: 0.41
DFT total energy in eV/atom: -3.981

=====

Entry 15:
Entry from Alexandria: crystalline Hf2TeCBr at its relaxed geometry (PBE-GGA).

Lattice parameters (Å, degrees): 4.694 4.694 4.449 90.00 90.00 90.00
Fractional positions:
Hf 0.000 0.500 0.000
Hf 0.500 0.000 0.000
Te 0.000 0.000 0.500
C 0.500 0.500 0.000
Br 0.500 0.500 0.500

Values from the calculation:
Volume in Å³/atom: 19.60
E_form (uncorrected) in eV/atom: 0.28
DFT total energy in eV/atom: -6.508

=====

Entry 16:
Entry from Alexandria: crystalline TaPdSe2 at its relaxed geometry (PBE-GGA).

Lattice parameters (Å, degrees): 8.261 6.255 8.053 90.00 116.42 90.00
Fractional positions:
Ta 0.041 0.035 0.326
Ta 0.041 0.465 0.826
Ta 0.959 0.535 0.174
Ta 0.959 0.965 0.674
Pd 0.133 0.640 0.553
Pd 0.133 0.860 0.053
Pd 0.867 0.140 0.947
Pd 0.867 0.360 0.447
Se 0.201 0.217 0.650
Se 0.201 0.283 0.150
Se 0.311 0.706 0.899
Se 0.311 0.794 0.399
Se 0.689 0.206 0.601
Se 0.689 0.294 0.101
Se 0.799 0.717 0.850
Se 0.799 0.783 0.350

Values from the calculation:
Volume in Å³/atom: 23.29
E_form (uncorrected) in eV/atom: -0.53
DFT total energy in eV/atom: -6.529
Excess energy over the best structure of this formula in the dataset in meV/atom: 0

=====

Entry 17:
Entry from Alexandria: crystalline AcPrNdEr at its relaxed geometry (PBE-GGA).

Lattice parameters (Å, degrees): 5.932 5.932 5.932 60.00 60.00 60.00
Fractional positions:
Ac 0.000 0.000 0.000
Pr 0.250 0.250 0.250
Nd 0.750 0.750 0.750
Er 0.500 0.500 0.500

Values from the calculation:
Volume in Å³/atom: 36.91
ΔH_f (0 K) in eV/atom: 0.17
DFT total energy in eV/atom: -4.389
Excess energy over the best structure of this formula in the dataset in meV/atom: 112

=====

Entry 18:
Entry from Alexandria: crystalline HfPaAl at its relaxed geometry (PBE-GGA).

Lattice parameters (Å, degrees): 7.145 7.145 7.145 155.12 155.12 35.47
Fractional positions:
Hf 0.000 0.000 0.000
Pa 0.320 0.320 0.000
Al 0.650 0.650 0.000

Values from the calculation:
Volume in Å³/atom: 21.49
ΔH_f (0 K) in eV/atom: -0.16
DFT total energy in eV/atom: -7.890
Excess energy over the best structure of this formula in the dataset in meV/atom: 0

=====

Entry 19:
Entry from Alexandria: crystalline K4SrNp3Se8 at its relaxed geometry (PBE-GGA).

Lattice parameters (Å, degrees): 9.132 9.132 9.132 56.67 56.67 56.67
Fractional positions:
K 0.000 0.000 0.000
K 0.000 0.500 0.500
K 0.500 0.000 0.500
K 0.500 0.500 0.000
Sr 0.500 0.500 0.500
Np 0.000 0.000 0.500
Np 0.000 0.500 0.000
Np 0.500 0.000 0.000
Se 0.218 0.744 0.744
Se 0.234 0.234 0.234
Se 0.256 0.256 0.782
Se 0.256 0.782 0.256
Se 0.744 0.218 0.744
Se 0.744 0.744 0.218
Se 0.766 0.766 0.766
Se 0.782 0.256 0.256

Values from the calculation:
Volume in Å³/atom: 31.07
E_form (uncorrected) in eV/atom: -1.37
DFT total energy in eV/atom: -5.914

=====

Entry 20:
Entry from Alexandria: crystalline Hf4ScCo5 at its relaxed geometry (PBE-GGA).

Lattice parameters (Å, degrees): 3.158 3.158 15.761 90.00 90.00 90.00
Fractional positions:
Hf 0.000 0.000 0.100
Hf 0.000 0.000 0.301
Hf 0.000 0.000 0.699
Hf 0.000 0.000 0.900
Sc 0.000 0.000 0.500
Co 0.500 0.500 0.000
Co 0.500 0.500 0.200
Co 0.500 0.500 0.395
Co 0.500 0.500 0.605
Co 0.500 0.500 0.800

Values from the calculation:
Volume in Å³/atom: 15.72
ΔH_f (0 K) in eV/atom: -0.40
DFT total energy in eV/atom: -8.563